[1]
Below is a relaxed Pr2Nd3Tm6 crystal, with properties calculated at the PBE level.

Cell: 16.904 16.904 16.904 Å, 163.78 163.78 23.01°
Fractional positions:
Pr  0.047  0.047  0.000
Pr  0.953  0.953  0.000
Nd  0.295  0.295  0.000
Nd  0.500  0.500  0.000
Nd  0.705  0.705  0.000
Tm  0.121  0.621  0.500
Tm  0.191  0.191  0.000
Tm  0.379  0.879  0.500
Tm  0.621  0.121  0.500
Tm  0.809  0.809  0.000
Tm  0.879  0.379  0.500

Computed properties:
**Energy above the lowest structure with this stoichiometry**: 1.60 kcal/mol of atoms
**D(E_F)**: 16.9 states/eV/f.u.
**ΔE_f**: 25 kJ/mol of atoms

=====

[2]
Below is a relaxed CrSnSe2 crystal, with properties calculated at the PBE level.

Cell: 6.948 6.948 6.948 Å, 130.99 130.99 71.83°
Fractional positions:
Cr  0.375  0.625  0.750
Cr  0.625  0.375  0.250
Sn  0.125  0.875  0.250
Sn  0.875  0.125  0.750
Se  0.142  0.392  0.750
Se  0.392  0.142  0.250
Se  0.608  0.858  0.750
Se  0.858  0.608  0.250

Computed properties:
**Formation energy without anion corrections**: -0.282 eV per atom
**D(E_F)**: 1.3 states/eV/f.u.

=====

[3]
Below is a relaxed La2RuRhF crystal, with properties calculated at the PBE level.

Cell: 5.012 5.012 4.151 Å, 90.00 90.00 90.00°
Fractional positions:
La  0.000  0.500  0.000
La  0.500  0.000  0.000
Ru  0.000  0.000  0.500
Rh  0.500  0.500  0.500
F  0.500  0.500  0.000

Computed properties:
**Formation energy without anion corrections**: -0.689 eV per atom
**D(E_F)**: 2.6 states/eV/f.u.

=====

[4]
Below is a relaxed Ba2LiHgPd crystal, with properties calculated at the PBE level.

Cell: 6.133 6.133 5.363 Å, 90.00 90.00 90.00°
Fractional positions:
Ba  0.000  0.500  0.000
Ba  0.500  0.000  0.000
Li  0.000  0.000  0.500
Hg  0.500  0.500  0.500
Pd  0.500  0.500  0.000

Computed properties:
**Energy above the lowest structure with this stoichiometry**: 1.71 kcal/mol of atoms
**D(E_F)**: 3.7 states/eV/f.u.
**ΔE_f**: -24 kJ/mol of atoms

=====

[5]
Below is a relaxed SrSmI5 crystal, with properties calculated at the PBE level.

Cell: 9.520 4.570 15.116 Å, 90.00 94.45 90.00°
Fractional positions:
Sr  0.089  0.250  0.141
Sr  0.911  0.750  0.859
Sm  0.414  0.750  0.349
Sm  0.586  0.250  0.651
I  0.085  0.750  0.319
I  0.147  0.250  0.925
I  0.326  0.250  0.484
I  0.356  0.750  0.140
I  0.384  0.750  0.702
I  0.616  0.250  0.298
I  0.644  0.250  0.860
I  0.674  0.750  0.516
I  0.853  0.750  0.075
I  0.915  0.250  0.681

Computed properties:
**Formation energy without anion corrections**: -1.501 eV per atom
**D(E_F)**: 0.0 states/eV/f.u.

=====

[6]
Below is a relaxed AcTbGe2Pd2 crystal, with properties calculated at the PBE level.

Cell: 4.508 4.508 7.629 Å, 90.00 90.00 120.00°
Fractional positions:
Ac  0.000  0.000  0.000
Tb  0.000  0.000  0.500
Ge  0.333  0.667  0.283
Ge  0.667  0.333  0.717
Pd  0.333  0.667  0.700
Pd  0.667  0.333  0.300

Computed properties:
**D(E_F)**: 5.0 states/eV/f.u.
**ΔE_f**: -88 kJ/mol of atoms

=====

[7]
Below is a relaxed Li3NdHg crystal, with properties calculated at the PBE level.

Cell: 4.157 4.157 7.434 Å, 106.05 106.05 90.02°
Fractional positions:
Li  0.000  0.000  0.000
Li  0.150  0.649  0.296
Li  0.649  0.150  0.296
Nd  0.383  0.383  0.764
Hg  0.791  0.791  0.577

Computed properties:
**D(E_F)**: 3.7 states/eV/f.u.
**ΔE_f**: -13 kJ/mol of atoms

=====

[8]
Below is a relaxed Ac6IrPdRh2 crystal, with properties calculated at the PBE level.

Cell: 7.507 7.509 8.208 Å, 90.04 117.18 119.99°
Fractional positions:
Ac  0.000  0.000  0.000
Ac  0.000  0.180  0.490
Ac  0.333  0.667  0.999
Ac  0.337  0.825  0.491
Ac  0.645  0.488  0.490
Ac  0.666  0.334  0.000
Ir  0.159  0.413  0.238
Pd  0.159  0.913  0.739
Rh  0.496  0.081  0.244
Rh  0.503  0.585  0.754

Computed properties:
**D(E_F)**: 5.2 states/eV/f.u.
**ΔE_f**: -61 kJ/mol of atoms

=====

[9]
Below is a relaxed BaZr2TcAs crystal, with properties calculated at the PBE level.

Cell: 4.984 4.984 5.902 Å, 90.00 90.00 90.00°
Fractional positions:
Ba  0.000  0.000  0.000
Zr  0.000  0.500  0.500
Zr  0.500  0.000  0.500
Tc  0.000  0.000  0.500
As  0.500  0.500  0.000

Computed properties:
**D(E_F)**: 4.6 states/eV/f.u.
**ΔE_f**: 44 kJ/mol of atoms

=====

[10]
Below is a relaxed K3Fe2AgCl8 crystal, with properties calculated at the PBE level.

Cell: 7.302 7.302 8.970 Å, 90.00 90.00 120.00°
Fractional positions:
K  0.000  0.000  0.000
K  0.333  0.667  0.615
K  0.667  0.333  0.385
Fe  0.333  0.667  0.200
Fe  0.667  0.333  0.800
Ag  0.000  0.000  0.500
Cl  0.168  0.335  0.308
Cl  0.168  0.832  0.308
Cl  0.333  0.667  0.951
Cl  0.335  0.168  0.692
Cl  0.665  0.832  0.308
Cl  0.667  0.333  0.049
Cl  0.832  0.168  0.692
Cl  0.832  0.665  0.692

Computed properties:
**Formation energy without anion corrections**: -1.180 eV per atom
**D(E_F)**: 14.2 states/eV/f.u.

=====

[11]
Below is a relaxed Rb2H2Se2O crystal, with properties calculated at the PBE level.

Cell: 6.512 6.512 6.512 Å, 138.48 106.42 88.20°
Fractional positions:
Rb  0.249  0.249  0.000
Rb  0.751  0.751  0.000
H  0.125  0.500  0.625
H  0.875  0.500  0.375
Se  0.345  0.000  0.345
Se  0.655  0.000  0.655
O  0.000  0.500  0.500

Computed properties:
**Calculated total energy**: -3.750 eV/atom

=====

[12]
Below is a relaxed Th2ScGa3Pd4 crystal, with properties calculated at the PBE level.

Cell: 4.206 4.206 11.299 Å, 90.00 90.00 90.00°
Fractional positions:
Th  0.000  0.500  0.233
Th  0.500  0.000  0.767
Sc  0.000  0.000  0.500
Ga  0.000  0.500  0.874
Ga  0.500  0.000  0.126
Ga  0.500  0.500  0.500
Pd  0.000  0.000  0.000
Pd  0.000  0.500  0.651
Pd  0.500  0.000  0.349
Pd  0.500  0.500  0.000

Computed properties:
**D(E_F)**: 8.5 states/eV/f.u.
**ΔE_f**: -74 kJ/mol of atoms